Below is crystalline BMoI3 at its relaxed geometry, with properties calculated at the PBE level.

M_tot	0.1	μB/cell
DFT total energy	-14.10	eV per cell
energy above the most stable polymorph in this dataset	390	meV per atom

CIF file:
```
data_BMoI3
_cell_length_a 5.0156
_cell_length_b 5.0156
_cell_length_c 5.0156
_cell_angle_alpha 90.00
_cell_angle_beta 90.00
_cell_angle_gamma 90.00
_symmetry_space_group_name_H-M 'P m -3 m'
_symmetry_Int_Tables_number 221
_symmetry_space_group_name_Hall '-P 4 2 3'
loop_
_atom_site_label
_atom_site_type_symbol
_atom_site_fract_x
_atom_site_fract_y
_atom_site_fract_z
_atom_site_occupancy
B1 B 0.0000 0.0000 0.0000 1
Mo1 Mo 0.5000 0.5000 0.5000 1
I1 I 0.0000 0.0000 0.5000 1
```


Below is crystalline U4PdPt12 at its relaxed geometry, with properties calculated at the PBE level.

E_form	-0.58	eV/atom
M_tot	17.4	μB/cell
DFT total energy	-265.24	eV per cell

CIF file:
```
data_U4PdPt12
_cell_length_a 8.5585
_cell_length_b 8.5585
_cell_length_c 8.5585
_cell_angle_alpha 90.00
_cell_angle_beta 90.00
_cell_angle_gamma 90.00
_symmetry_space_group_name_H-M 'I m -3 m'
_symmetry_Int_Tables_number 229
_symmetry_space_group_name_Hall '-I 4 2 3'
loop_
_atom_site_label
_atom_site_type_symbol
_atom_site_fract_x
_atom_site_fract_y
_atom_site_fract_z
_atom_site_occupancy
U1 U 0.2500 0.2500 0.2500 1
Pd1 Pd 0.0000 0.0000 0.0000 1
Pt1 Pt 0.0000 0.0000 0.2992 1
Pt2 Pt 0.0000 0.2500 0.5000 1
```


Below is crystalline CuSn2Te2 at its relaxed geometry, with properties calculated at the PBE level.

M_tot	0.0	μB/cell
DFT total energy	-35.40	eV per cell
energy above the most stable polymorph in this dataset	0	meV per atom

CIF file:
```
data_CuSn2Te2
_cell_length_a 7.5603
_cell_length_b 7.5603
_cell_length_c 4.9648
_cell_angle_alpha 90.00
_cell_angle_beta 90.00
_cell_angle_gamma 90.00
_symmetry_space_group_name_H-M 'P 4/m b m'
_symmetry_Int_Tables_number 127
_symmetry_space_group_name_Hall '-P 4 2ab'
loop_
_atom_site_label
_atom_site_type_symbol
_atom_site_fract_x
_atom_site_fract_y
_atom_site_fract_z
_atom_site_occupancy
Cu1 Cu 0.0000 0.0000 0.0000 1
Sn1 Sn 0.1474 0.3526 0.5000 1
Te1 Te 0.1873 0.6873 0.0000 1
```


Below is crystalline Pr3ErMg3 at its relaxed geometry, with properties calculated at the PBE level.

E_form	0.07	eV/atom
M_tot	0.0	μB/cell
DFT total energy	-92.89	eV per cell

CIF file:
```
data_Pr3ErMg3
_cell_length_a 10.8617
_cell_length_b 11.3870
_cell_length_c 7.1638
_cell_angle_alpha 90.00
_cell_angle_beta 90.00
_cell_angle_gamma 90.00
_symmetry_space_group_name_H-M 'C m m m'
_symmetry_Int_Tables_number 65
_symmetry_space_group_name_Hall '-C 2 2'
loop_
_atom_site_label
_atom_site_type_symbol
_atom_site_fract_x
_atom_site_fract_y
_atom_site_fract_z
_atom_site_occupancy
Pr1 Pr 0.0000 0.0000 0.2465 1
Pr2 Pr 0.2500 0.2500 0.2540 1
Er1 Er 0.1885 0.5000 0.0000 1
Mg1 Mg 0.0000 0.2591 0.0000 1
Mg2 Mg 0.0000 0.3206 0.5000 1
Mg3 Mg 0.2194 0.5000 0.5000 1
```


Below is crystalline LaEuBiCl at its relaxed geometry, with properties calculated at the PBE level.

M_tot	31.7	μB/cell
DFT total energy	-102.99	eV per cell

CIF file:
```
data_LaEuBiCl
_cell_length_a 7.8270
_cell_length_b 7.8270
_cell_length_c 7.8270
_cell_angle_alpha 90.00
_cell_angle_beta 90.00
_cell_angle_gamma 90.00
_symmetry_space_group_name_H-M 'F -4 3 m'
_symmetry_Int_Tables_number 216
_symmetry_space_group_name_Hall 'F -4 2 3'
loop_
_atom_site_label
_atom_site_type_symbol
_atom_site_fract_x
_atom_site_fract_y
_atom_site_fract_z
_atom_site_occupancy
La1 La 0.0000 0.0000 0.0000 1
Eu1 Eu 0.0000 0.0000 0.5000 1
Bi1 Bi 0.2500 0.2500 0.7500 1
Cl1 Cl 0.2500 0.2500 0.2500 1
```


Below is crystalline Pa4Ge3Rh at its relaxed geometry, with properties calculated at the PBE level.

E_form	-0.50	eV/atom
M_tot	0.0	μB/cell
DFT total energy	-63.18	eV per cell

CIF file:
```
data_Pa4Ge3Rh
_cell_length_a 4.0227
_cell_length_b 4.1578
_cell_length_c 10.7553
_cell_angle_alpha 90.00
_cell_angle_beta 90.00
_cell_angle_gamma 90.00
_symmetry_space_group_name_H-M 'P m m 2'
_symmetry_Int_Tables_number 25
_symmetry_space_group_name_Hall 'P 2 -2'
loop_
_atom_site_label
_atom_site_type_symbol
_atom_site_fract_x
_atom_site_fract_y
_atom_site_fract_z
_atom_site_occupancy
Pa1 Pa 0.0000 0.0000 0.0000 1
Pa2 Pa 0.0000 0.5000 0.2795 1
Pa3 Pa 0.5000 0.0000 0.4967 1
Pa4 Pa 0.5000 0.5000 0.7782 1
Ge1 Ge 0.0000 0.0000 0.7293 1
Ge2 Ge 0.0000 0.5000 0.5483 1
Ge3 Ge 0.5000 0.5000 0.0566 1
Rh1 Rh 0.5000 0.0000 0.2241 1
```


Please write out number 4 again, unchanged.
Below is crystalline Pr3ErMg3 at its relaxed geometry, with properties calculated at the PBE level.

E_form	0.07	eV/atom
M_tot	0.0	μB/cell
DFT total energy	-92.89	eV per cell

CIF file:
```
data_Pr3ErMg3
_cell_length_a 10.8617
_cell_length_b 11.3870
_cell_length_c 7.1638
_cell_angle_alpha 90.00
_cell_angle_beta 90.00
_cell_angle_gamma 90.00
_symmetry_space_group_name_H-M 'C m m m'
_symmetry_Int_Tables_number 65
_symmetry_space_group_name_Hall '-C 2 2'
loop_
_atom_site_label
_atom_site_type_symbol
_atom_site_fract_x
_atom_site_fract_y
_atom_site_fract_z
_atom_site_occupancy
Pr1 Pr 0.0000 0.0000 0.2465 1
Pr2 Pr 0.2500 0.2500 0.2540 1
Er1 Er 0.1885 0.5000 0.0000 1
Mg1 Mg 0.0000 0.2591 0.0000 1
Mg2 Mg 0.0000 0.3206 0.5000 1
Mg3 Mg 0.2194 0.5000 0.5000 1
```


- What is the DFT total energy in the sixth record?
  -63.18 eV per cell